No. 1
Crystalline CdCoP at its relaxed geometry, computed with PBE-GGA.

Unit cell a=4.1004 b=4.1004 c=4.1004 alpha=60.00 beta=60.00 gamma=60.00
Last column: nearest neighbours and their distance in Å.
Sites, in units of the cell vectors:
Cd: 0.0000 0.0000 0.0000  4 Co 2.51
Co: 0.2500 0.2500 0.2500  4 Cd 2.51, 4 P 2.51
P: 0.5000 0.5000 0.5000  4 Co 2.51

ΔE_f ... 0.1967 eV per atom
DOS at the Fermi energy ... 1.079 states/eV/atom


No. 2
Crystalline Rb2Pt at its relaxed geometry, computed with PBE-GGA.

Unit cell a=8.7938 b=8.7938 c=5.0433 alpha=90.00 beta=90.00 gamma=120.00
Last column: nearest neighbours and their distance in Å.
Sites, in units of the cell vectors:
Rb: 0.0000 0.2562 0.0000  4 Pt 3.32-3.38
Rb: 0.0000 0.5898 0.5000  5 Pt 3.61-3.66, 6 Rb 3.87-4.04
Rb: 0.2562 0.0000 0.0000  4 Pt 3.32-3.38
Rb: 0.4102 0.4102 0.5000  5 Pt 3.61-3.66, 6 Rb 3.87-4.04
Rb: 0.5898 0.0000 0.5000  5 Pt 3.61-3.66, 6 Rb 3.87-4.04
Rb: 0.7438 0.7438 0.0000  4 Pt 3.32-3.38
Pt: 0.0000 0.0000 0.5000  9 Rb 3.38-3.61
Pt: 0.3333 0.6667 0.0000  9 Rb 3.32-3.66
Pt: 0.6667 0.3333 0.0000  9 Rb 3.32-3.66

ΔE_f ... 0.0316 eV per atom


No. 3
Crystalline BeAg2Au6 at its relaxed geometry, computed with PBE-GGA.

Unit cell a=7.4128 b=7.4128 c=3.7715 alpha=104.64 beta=104.64 gamma=60.79
Last column: nearest neighbours and their distance in Å.
Sites, in units of the cell vectors:
Be: 0.0000 0.0000 0.0000  8 Au 2.38-2.58
Ag: 0.3674 0.3674 0.3680  8 Au 2.82-2.94
Ag: 0.6326 0.6326 0.6320  8 Au 2.82-2.94
Au: 0.0371 0.6257 0.8313  1 Be 2.58, 4 Au 2.79-2.82, 1 Ag 2.88
Au: 0.1926 0.8074 0.5000  2 Be 2.38
Au: 0.3743 0.9629 0.1687  1 Be 2.58, 4 Au 2.79-2.82, 1 Ag 2.88
Au: 0.6257 0.0371 0.8313  1 Be 2.58, 4 Au 2.79-2.82, 1 Ag 2.88
Au: 0.8074 0.1926 0.5000  2 Be 2.38
Au: 0.9629 0.3743 0.1687  1 Be 2.58, 4 Au 2.79-2.82, 1 Ag 2.88

ΔE_f ... 0.0294 eV per atom
DOS at the Fermi energy ... 0.286 states/eV/atom


No. 4
Crystalline Sc2CdRh at its relaxed geometry, computed with PBE-GGA.

Unit cell a=3.3386 b=3.3386 c=7.2080 alpha=90.00 beta=90.00 gamma=90.00
Last column: nearest neighbours and their distance in Å.
Sites, in units of the cell vectors:
Sc: 0.0000 0.0000 0.0000  4 Rh 2.69
Sc: 0.5000 0.5000 0.3102  4 Cd 3.05, 8 Sc 3.25-3.34
Cd: 0.0000 0.0000 0.5791  4 Rh 2.93, 5 Sc 3.03-3.05
Rh: 0.5000 0.5000 0.8202  4 Sc 2.69, 4 Cd 2.93

ΔE_f ... -0.3788 eV per atom
DOS at the Fermi energy ... 1.005 states/eV/atom


No. 5
Crystalline PuNi3H6 at its relaxed geometry, computed with PBE-GGA.

Unit cell a=4.9656 b=4.9656 c=4.9656 alpha=55.73 beta=55.73 gamma=55.73
Last column: nearest neighbours and their distance in Å.
Sites, in units of the cell vectors:
Pu: 0.0000 0.0000 0.0000  9 H 2.29-2.50
Ni: 0.2294 0.2294 0.2294  6 H 1.73-1.77
Ni: 0.5466 0.5466 0.5466  6 H 1.77-1.79
Ni: 0.7604 0.7604 0.7604  3 H 1.70
H: 0.1389 0.4958 0.8400  3 Ni 1.70-1.77
H: 0.4742 0.9676 0.4937  2 Ni 1.73-1.79
H: 0.4937 0.4742 0.9676  2 Ni 1.73-1.79
H: 0.4958 0.8400 0.1389  3 Ni 1.70-1.77
H: 0.8400 0.1389 0.4958  3 Ni 1.70-1.77
H: 0.9676 0.4937 0.4742  2 Ni 1.73-1.79

DOS at the Fermi energy ... 1.546 states/eV/atom


No. 6
Crystalline PuTiBi2 at its relaxed geometry, computed with PBE-GGA.

Unit cell a=11.2320 b=11.2320 c=11.2320 alpha=17.40 beta=17.40 gamma=17.40
Last column: nearest neighbours and their distance in Å.
Sites, in units of the cell vectors:
Pu: 0.0000 0.0000 0.0000  2 Bi 3.29, 6 Pu 3.40
Ti: 0.5000 0.5000 0.5000  6 Bi 2.98
Bi: 0.0992 0.0992 0.0992  3 Ti 2.98, 1 Pu 3.29
Bi: 0.9008 0.9008 0.9008  3 Ti 2.98, 1 Pu 3.29

ΔE_f ... 0.1188 eV per atom
DOS at the Fermi energy ... 2.377 states/eV/atom


No. 7
Crystalline YMgPb2 at its relaxed geometry, computed with PBE-GGA.

Unit cell a=6.2486 b=6.2486 c=6.2486 alpha=138.16 beta=138.16 gamma=60.66
Last column: nearest neighbours and their distance in Å.
Sites, in units of the cell vectors:
Y: 0.0000 0.0000 0.0000  8 Pb 3.16-3.50, 4 Mg 3.50
Mg: 0.7500 0.2500 0.5000  8 Pb 3.16-3.50, 4 Y 3.50
Pb: 0.2500 0.7500 0.5000  4 Mg 3.16, 4 Pb 3.50, 4 Y 3.50
Pb: 0.5000 0.5000 0.0000  4 Y 3.16, 4 Mg 3.50, 4 Pb 3.50

ΔE_f ... -0.3279 eV per atom
DOS at the Fermi energy ... 0.347 states/eV/atom


No. 8
Crystalline CoRuW2 at its relaxed geometry, computed with PBE-GGA.

Unit cell a=4.6789 b=4.6789 c=4.6975 alpha=100.05 beta=100.05 gamma=34.46
Last column: nearest neighbours and their distance in Å.
Sites, in units of the cell vectors:
Co: 0.0000 0.0000 0.0000  7 W 2.58-2.74, 3 Ru 2.69-2.89, 2 Co 2.77
Ru: 0.7396 0.7396 0.2838  7 W 2.59-2.81, 3 Co 2.69-2.89, 2 Ru 2.77
W: 0.2591 0.2591 0.8102  3 Co 2.58-2.63, 4 Ru 2.65-2.81, 3 W 2.76-2.77
W: 0.4931 0.4931 0.5005  3 Ru 2.59-2.69, 4 Co 2.72-2.74, 3 W 2.76-2.77

ΔE_f ... 0.1198 eV per atom
DOS at the Fermi energy ... 0.967 states/eV/atom


No. 9
Crystalline ThUS3 at its relaxed geometry, computed with PBE-GGA.

Unit cell a=8.0002 b=8.0002 c=8.1694 alpha=96.46 beta=96.46 gamma=32.51
Last column: nearest neighbours and their distance in Å.
Sites, in units of the cell vectors:
Th: 0.1226 0.1226 0.4042  6 S 2.73-2.94
Th: 0.8774 0.8774 0.5958  6 S 2.73-2.94
U: 0.3566 0.3566 0.1196  6 S 2.73-2.88
U: 0.6434 0.6434 0.8804  6 S 2.73-2.88
S: 0.0503 0.0503 0.7216  2 Th 2.73-2.94, 2 U 2.88
S: 0.1737 0.1737 0.0854  3 U 2.79-2.80, 1 Th 2.81
S: 0.3132 0.3132 0.4336  1 U 2.73, 3 Th 2.73-2.91
S: 0.6868 0.6868 0.5664  1 U 2.73, 3 Th 2.73-2.91
S: 0.8263 0.8263 0.9146  3 U 2.79-2.80, 1 Th 2.81
S: 0.9497 0.9497 0.2784  2 Th 2.73-2.94, 2 U 2.88

Energy relative to the elements, uncorrected ... -1387 meV per atom
DOS at the Fermi energy ... 1.357 states/eV/atom


No. 10
Crystalline U2Tc3Ru at its relaxed geometry, computed with PBE-GGA.

Unit cell a=5.1036 b=5.1036 c=9.4286 alpha=90.00 beta=90.00 gamma=120.00
Last column: nearest neighbours and their distance in Å.
Sites, in units of the cell vectors:
U: 0.3333 0.6667 0.0620  3 Ru 3.00, 9 Tc 3.11-3.28, 3 U 3.17
U: 0.3333 0.6667 0.4380  3 Ru 3.00, 9 Tc 3.11-3.28, 3 U 3.17
U: 0.6667 0.3333 0.5620  3 Ru 3.00, 9 Tc 3.11-3.28, 3 U 3.17
U: 0.6667 0.3333 0.9380  3 Ru 3.00, 9 Tc 3.11-3.28, 3 U 3.17
Tc: 0.1692 0.3384 0.7500  4 Tc 2.51-2.59, 2 Ru 2.79
Tc: 0.1692 0.8308 0.7500  4 Tc 2.51-2.59, 2 Ru 2.79
Tc: 0.3384 0.1692 0.2500  4 Tc 2.51-2.59, 2 Ru 2.79
Tc: 0.6616 0.8308 0.7500  4 Tc 2.51-2.59, 2 Ru 2.79
Tc: 0.8308 0.1692 0.2500  4 Tc 2.51-2.59, 2 Ru 2.79
Tc: 0.8308 0.6616 0.2500  4 Tc 2.51-2.59, 2 Ru 2.79
Ru: 0.0000 0.0000 0.0000  6 Tc 2.79, 6 U 3.00
Ru: 0.0000 0.0000 0.5000  6 Tc 2.79, 6 U 3.00

ΔE_f ... -0.0420 eV per atom
DOS at the Fermi energy ... 1.672 states/eV/atom


No. 11
Crystalline AcZn2GeAu5 at its relaxed geometry, computed with PBE-GGA.

Unit cell a=5.0389 b=5.0389 c=7.5701 alpha=90.00 beta=90.00 gamma=90.00
Last column: nearest neighbours and their distance in Å.
Sites, in units of the cell vectors:
Ac: 0.0000 0.0000 0.0000  12 Au 3.34-3.56
Zn: 0.5000 0.5000 0.3379  1 Zn 2.45, 5 Au 2.55-2.56
Zn: 0.5000 0.5000 0.6621  1 Zn 2.45, 5 Au 2.55-2.56
Ge: 0.0000 0.0000 0.5000  8 Au 2.98
Au: 0.0000 0.5000 0.2898  2 Zn 2.55
Au: 0.0000 0.5000 0.7102  2 Zn 2.55
Au: 0.5000 0.0000 0.2898  2 Zn 2.55
Au: 0.5000 0.0000 0.7102  2 Zn 2.55
Au: 0.5000 0.5000 0.0000  2 Zn 2.56

ΔE_f ... -0.2327 eV per atom
DOS at the Fermi energy ... 0.319 states/eV/atom


No. 12
Crystalline HfNpNbN3 at its relaxed geometry, computed with PBE-GGA.

Unit cell a=6.8097 b=3.1319 c=8.1408 alpha=90.00 beta=92.75 gamma=90.00
Last column: nearest neighbours and their distance in Å.
Sites, in units of the cell vectors:
Hf: 0.1273 0.2500 0.1364  5 N 2.13-2.22
Hf: 0.8727 0.7500 0.8636  5 N 2.13-2.22
Np: 0.3646 0.7500 0.8266  7 N 2.41-2.52
Np: 0.6354 0.2500 0.1734  7 N 2.41-2.52
Nb: 0.3455 0.7500 0.4251  4 N 2.13-2.36
Nb: 0.6545 0.2500 0.5749  4 N 2.13-2.36
N: 0.1015 0.2500 0.8748  3 Hf 2.13-2.21
N: 0.3397 0.2500 0.6016  3 Nb 2.13-2.17
N: 0.3584 0.7500 0.1364  2 Hf 2.22, 1 Nb 2.36, 2 Np 2.46
N: 0.6416 0.2500 0.8636  2 Hf 2.22, 1 Nb 2.36, 2 Np 2.46
N: 0.6603 0.7500 0.3984  3 Nb 2.13-2.17
N: 0.8985 0.7500 0.1252  3 Hf 2.13-2.21

Energy relative to the elements, uncorrected ... -1104 meV per atom
DOS at the Fermi energy ... 1.050 states/eV/atom


No. 13
Crystalline LaTb4Hg2 at its relaxed geometry, computed with PBE-GGA.

Unit cell a=10.8676 b=10.8676 c=10.8676 alpha=26.87 beta=26.87 gamma=26.87
Last column: nearest neighbours and their distance in Å.
Sites, in units of the cell vectors:
La: 0.0000 0.0000 0.0000  2 Hg 3.21, 6 Tb 3.49
Tb: 0.2026 0.2026 0.2026  4 Hg 3.05-3.15
Tb: 0.3941 0.3941 0.3941  3 Hg 3.19, 3 La 3.49
Tb: 0.6059 0.6059 0.6059  3 Hg 3.19, 3 La 3.49
Tb: 0.7974 0.7974 0.7974  4 Hg 3.05-3.15
Hg: 0.1022 0.1022 0.1022  7 Tb 3.05-3.19, 1 La 3.21
Hg: 0.8978 0.8978 0.8978  7 Tb 3.05-3.19, 1 La 3.21

ΔE_f ... 0.0207 eV per atom
DOS at the Fermi energy ... 1.510 states/eV/atom


No. 14
Crystalline YInAu3 at its relaxed geometry, computed with PBE-GGA.

Unit cell a=4.8303 b=7.4442 c=6.5884 alpha=90.00 beta=111.03 gamma=90.00
Last column: nearest neighbours and their distance in Å.
Sites, in units of the cell vectors:
Y: 0.1358 0.2500 0.2665  8 Au 2.98-3.05
Y: 0.8642 0.7500 0.7335  8 Au 2.98-3.05
In: 0.1402 0.7500 0.2895  8 Au 2.86-3.13
In: 0.8598 0.2500 0.7105  8 Au 2.86-3.13
Au: 0.3240 0.5085 0.6508  4 Au 2.81-3.05, 3 In 2.86-3.13, 3 Y 3.05
Au: 0.3240 0.9915 0.6508  4 Au 2.81-3.05, 3 In 2.86-3.13, 3 Y 3.05
Au: 0.4972 0.2500 0.9837  4 Au 2.81-2.88, 2 In 2.93-2.96, 2 Y 2.98
Au: 0.5028 0.7500 0.0163  4 Au 2.81-2.88, 2 In 2.93-2.96, 2 Y 2.98
Au: 0.6760 0.0085 0.3492  4 Au 2.81-3.05, 3 In 2.86-3.13, 3 Y 3.05
Au: 0.6760 0.4915 0.3492  4 Au 2.81-3.05, 3 In 2.86-3.13, 3 Y 3.05

ΔE_f ... -0.5380 eV per atom
DOS at the Fermi energy ... 0.427 states/eV/atom


No. 15
Crystalline In2OsSe at its relaxed geometry, computed with PBE-GGA.

Unit cell a=10.1587 b=10.1587 c=10.1587 alpha=18.59 beta=18.59 gamma=18.59
Last column: nearest neighbours and their distance in Å.
Sites, in units of the cell vectors:
In: 0.0000 0.0000 0.0000  3 Os 2.88
In: 0.2443 0.2443 0.2443  9 In 3.27-3.28
Os: 0.7393 0.7393 0.7393  3 Se 2.44
Se: 0.4571 0.4571 0.4571  3 Os 2.44

Energy relative to the elements, uncorrected ... 200 meV per atom
DOS at the Fermi energy ... 0.622 states/eV/atom


No. 16
Crystalline YScBe2O at its relaxed geometry, computed with PBE-GGA.

Unit cell a=4.6899 b=4.6899 c=5.8303 alpha=90.00 beta=90.00 gamma=90.00
Last column: nearest neighbours and their distance in Å.
Sites, in units of the cell vectors:
Y: 0.0000 0.0000 0.0000  4 Be 2.34
Sc: 0.0000 0.0000 0.5000  2 Y 2.92
Be: 0.0000 0.5000 0.0000  2 Y 2.34
Be: 0.5000 0.0000 0.0000  2 Y 2.34
O: 0.5000 0.5000 0.5000  4 Sc 3.32

Energy relative to the elements, uncorrected ... 1921 meV per atom
DOS at the Fermi energy ... 1.365 states/eV/atom


No. 17
Crystalline CaIrW2 at its relaxed geometry, computed with PBE-GGA.

Unit cell a=3.3927 b=3.3927 c=7.0940 alpha=90.00 beta=90.00 gamma=90.00
Last column: nearest neighbours and their distance in Å.
Sites, in units of the cell vectors:
Ca: 0.0000 0.0000 0.0000  8 W 3.35, 4 Ca 3.39, 2 Ir 3.55
Ir: 0.0000 0.0000 0.5000  8 W 2.69
W: 0.5000 0.5000 0.3297  1 W 2.42, 4 Ir 2.69
W: 0.5000 0.5000 0.6703  1 W 2.42, 4 Ir 2.69

ΔE_f ... 0.6577 eV per atom
DOS at the Fermi energy ... 1.552 states/eV/atom


No. 18
Crystalline MnV2Pd8 at its relaxed geometry, computed with PBE-GGA.

Unit cell a=7.1000 b=7.1000 c=7.1000 alpha=146.75 beta=119.53 gamma=70.78
Last column: nearest neighbours and their distance in Å.
Sites, in units of the cell vectors:
Mn: 0.0000 0.0000 0.0000  8 Pd 2.67-2.72
V: 0.3059 0.3059 0.0000  10 Pd 2.60-2.72
V: 0.6941 0.6941 0.0000  10 Pd 2.60-2.72
Pd: 0.1193 0.8403 0.2790  3 V 2.60-2.62, 5 Pd 2.71-2.85, 1 Mn 2.72
Pd: 0.1498 0.6498 0.5000  2 Mn 2.67, 8 Pd 2.71-2.85, 2 V 2.72
Pd: 0.3098 0.5000 0.8098  2 V 2.63, 7 Pd 2.72-2.81
Pd: 0.4387 0.1597 0.2790  3 V 2.60-2.62, 5 Pd 2.71-2.85, 1 Mn 2.72
Pd: 0.5613 0.8403 0.7210  3 V 2.60-2.62, 5 Pd 2.71-2.85, 1 Mn 2.72
Pd: 0.6902 0.5000 0.1902  2 V 2.63, 7 Pd 2.72-2.81
Pd: 0.8502 0.3502 0.5000  2 Mn 2.67, 8 Pd 2.71-2.85, 2 V 2.72
Pd: 0.8807 0.1597 0.7210  3 V 2.60-2.62, 5 Pd 2.71-2.85, 1 Mn 2.72

ΔE_f ... -0.1782 eV per atom
DOS at the Fermi energy ... 0.553 states/eV/atom


No. 19
Crystalline Pm4NdCd2 at its relaxed geometry, computed with PBE-GGA.

Unit cell a=7.6419 b=7.6419 c=7.6419 alpha=134.18 beta=134.18 gamma=66.81
Last column: nearest neighbours and their distance in Å.
Sites, in units of the cell vectors:
Pm: 0.0000 0.5000 0.5000  2 Nd 2.97, 2 Pm 3.19
Pm: 0.2500 0.7500 0.5000  2 Pm 3.19, 4 Cd 3.35
Pm: 0.5000 0.0000 0.5000  2 Nd 2.97, 2 Pm 3.19
Pm: 0.7500 0.2500 0.5000  2 Pm 3.19, 4 Cd 3.35
Nd: 0.0000 0.0000 0.0000  4 Pm 2.97
Cd: 0.3715 0.3715 0.0000  1 Cd 3.28, 8 Pm 3.35-3.40
Cd: 0.6285 0.6285 0.0000  1 Cd 3.28, 8 Pm 3.35-3.40

ΔE_f ... 0.1901 eV per atom
DOS at the Fermi energy ... 1.362 states/eV/atom


No. 20
Crystalline FeOsAu2 at its relaxed geometry, computed with PBE-GGA.

Unit cell a=4.9748 b=4.9748 c=2.7233 alpha=90.00 beta=90.00 gamma=110.81
Last column: nearest neighbours and their distance in Å.
Sites, in units of the cell vectors:
Fe: 0.0000 0.0000 0.0000  2 Fe 2.72, 2 Os 2.82, 8 Au 2.84
Os: 0.5000 0.5000 0.0000  2 Os 2.72, 2 Fe 2.82, 8 Au 2.84
Au: 0.0000 0.5000 0.5000  4 Au 2.72-2.82, 4 Fe 2.84, 4 Os 2.84
Au: 0.5000 0.0000 0.5000  4 Au 2.72-2.82, 4 Fe 2.84, 4 Os 2.84

ΔE_f ... 0.4742 eV per atom
DOS at the Fermi energy ... 0.831 states/eV/atom


Number 1: total magnetization 0.24 μB per atom, raw total energy -12.84 eV/cell. Number 2: total magnetization 0.07 μB per atom, raw total energy -23.64 eV/cell. Number 3: total magnetization 0.00 μB per atom, raw total energy -28.83 eV/cell. Number 4: total magnetization 0.23 μB per atom, raw total energy -22.44 eV/cell. Number 5: total magnetization 0.51 μB per atom, raw total energy -53.33 eV/cell. Number 6: total magnetization 1.64 μB per atom, raw total energy -29.51 eV/cell. Number 7: total magnetization 0.00 μB per atom, raw total energy -16.79 eV/cell. Number 8: total magnetization 0.00 μB per atom, raw total energy -41.81 eV/cell. Number 9: total magnetization 0.80 μB per atom, raw total energy -76.05 eV/cell. Number 10: total magnetization 0.37 μB per atom, raw total energy -126.40 eV/cell. Number 11: total magnetization 0.00 μB per atom, raw total energy -29.75 eV/cell. Number 12: total magnetization 0.49 μB per atom, raw total energy -129.12 eV/cell. Number 13: total magnetization 0.00 μB per atom, raw total energy -23.91 eV/cell. Number 14: total magnetization 0.00 μB per atom, raw total energy -43.45 eV/cell. Number 15: total magnetization 0.00 μB per atom, raw total energy -19.39 eV/cell. Number 16: total magnetization 0.00 μB per atom, raw total energy -15.60 eV/cell. Number 17: total magnetization 0.00 μB per atom, raw total energy -34.14 eV/cell. Number 18: total magnetization 0.39 μB per atom, raw total energy -70.91 eV/cell. Number 19: total magnetization 0.00 μB per atom, raw total energy -24.27 eV/cell. Number 20: total magnetization 0.89 μB per atom, raw total energy -24.35 eV/cell.